Computed, not measured: crystalline TbPr8Co2 at its relaxed geometry at the PBE level of DFT.

Calculated values
E_tot = -5.0890 eV/atom
ΔH_f (0 K) = 0.100 eV/atom

extended XYZ file:
```
11
Lattice="7.2839 -0.8777 -0.6660 -1.3356 7.4363 0.3379 -1.3356 2.3277 7.0707" Properties=species:S:1:pos:R:3 pbc="T T T"
Pr 3.9655 4.1942 1.0930
Pr 4.1797 5.8792 4.4609
Pr -0.0514 8.2491 6.2591
Pr 0.6471 4.6922 5.6496
Pr 3.9655 2.1820 3.7449
Pr 4.6641 0.6372 0.4835
Pr 0.6471 6.7044 2.9976
Pr 0.4329 3.0071 2.2817
Co 2.3089 7.4028 5.6169
Co 2.3038 1.4835 1.1256
Tb 0.0000 0.0000 0.0000
```